# 1
An optimized crystal structure of DyTl2SbSe4. Source: the Alexandria database, functional PBE-GGA.

Unit cell a=8.7191 b=8.7192 c=8.6140 alpha=119.60 beta=119.60 gamma=90.07
Element x y z (fractional)
Sb  0.5000  0.5000  0.5000
Se  0.2356  0.2643  0.0235
Se  0.7643  0.7356  0.5235
Sb  0.0000  0.0000  0.0000
Se  0.7644  0.7357  0.9765
Se  0.2357  0.2644  0.4765
Tl  0.5000  0.0000  0.5000
Dy  0.0000  0.5000  0.5000
Se  0.2078  0.7339  0.9708
Se  0.7923  0.2661  0.0292
Se  0.2339  0.7077  0.4708
Tl  0.0000  0.0000  0.5000
Dy  0.0000  0.5000  0.0000
Tl  0.5000  0.0000  0.0000
Se  0.7661  0.2923  0.5292
Tl  0.5000  0.5000  0.0000

Output
Its formation energy (no corrections) is -0.844 eV per atom.

# 2
An optimized crystal structure of Sn3Bi. Source: the Alexandria database, functional PBE-GGA.

Unit cell a=6.2327 b=6.2327 c=6.2327 alpha=135.76 beta=135.76 gamma=64.35
Element x y z (fractional)
Bi  0.0000  0.0000  0.0000
Sn  0.7500  0.2500  0.5000
Sn  0.2500  0.7500  0.5000
Sn  0.5000  0.5000  0.0000

Output
As for the formation energy from the elements: 88.9 meV per atom.

# 3
An optimized crystal structure of BaLiPuS3. Source: the Alexandria database, functional PBE-GGA.

Unit cell a=4.1305 b=8.5857 c=8.9246 alpha=104.48 beta=90.00 gamma=90.00
Site moments in Bohr magnetons follow the coordinates.
Element x y z (fractional)
Ba  0.7500  0.8078  0.7598  0.01
S  0.2500  0.5488  0.8409  -0.10
S  0.2500  0.1183  0.8651  -0.07
S  0.7500  0.8817  0.1349  -0.07
S  0.7500  0.4512  0.1591  -0.10
Pu  0.2500  0.6699  0.1596  5.05
S  0.7500  0.2023  0.5220  -0.04
S  0.2500  0.7977  0.4780  -0.04
Ba  0.2500  0.1922  0.2402  0.01
Li  0.7500  0.9139  0.4098  0.00
Li  0.2500  0.0861  0.5902  0.00
Pu  0.7500  0.3301  0.8404  5.05

Output
Its formation energy (no corrections) is -1.728 eV per atom.

# 4
An optimized crystal structure of TbYSb. Source: the Alexandria database, functional PBE-GGA.

Unit cell a=4.8676 b=4.0825 c=9.7644 alpha=90.00 beta=90.00 gamma=90.00
Site moments in Bohr magnetons follow the coordinates.
Element x y z (fractional)
Y  0.5000  0.9993  0.7500  0.20
Tb  0.0000  0.0000  0.0000  0.24
Y  0.5000  0.0007  0.2500  0.20
Tb  0.0000  0.0000  0.5000  0.24
Sb  0.0000  0.5004  0.2500  0.00
Sb  0.0000  0.4996  0.7500  0.00

Output
Its formation energy (no corrections) is -0.497 eV per atom.

# 5
An optimized crystal structure of Y3S4. Source: the Alexandria database, functional PBE-GGA.

Unit cell a=8.0661 b=8.0661 c=8.0661 alpha=59.98 beta=59.98 gamma=59.98
Element x y z (fractional)
Y  0.8749  0.8749  0.8749
S  0.2576  0.7273  0.2576
S  0.7424  0.7424  0.7424
Y  0.5000  0.0000  0.5000
Y  0.0000  0.5000  0.5000
S  0.7424  0.2727  0.7424
S  0.2576  0.2576  0.7273
S  0.2576  0.2576  0.2576
Y  0.5000  0.5000  0.5000
Y  0.1251  0.1251  0.1251
S  0.7424  0.7424  0.2727
Y  0.5000  0.5000  0.0000
S  0.7273  0.2576  0.2576
S  0.2727  0.7424  0.7424

Output
Its formation energy (no corrections) is -1.944 eV per atom. For the polymorph energy (0 for the lowest one), the calculation gives 0.132 eV/atom.

# 6
An optimized crystal structure of SrZnCu3. Source: the Alexandria database, functional PBE-GGA.

Unit cell a=4.6749 b=4.6749 c=4.6749 alpha=90.00 beta=90.00 gamma=90.00
Element x y z (fractional)
Cu  0.0000  0.5000  0.0000
Cu  0.5000  0.0000  0.0000
Sr  0.5000  0.5000  0.5000
Cu  0.0000  0.0000  0.5000
Zn  0.0000  0.0000  0.0000

Output
As for the formation energy from the elements: 148.2 meV per atom. For the polymorph energy (0 for the lowest one), the calculation gives 0.233 eV/atom.

# 7
An optimized crystal structure of HfZr2Sc2. Source: the Alexandria database, functional PBE-GGA.

Unit cell a=8.3223 b=8.3223 c=3.3514 alpha=90.00 beta=90.00 gamma=90.00
Element x y z (fractional)
Zr  0.1744  0.6744  0.5000
Sc  0.8741  0.6259  0.0000
Hf  0.5000  0.5000  0.0000
Hf  0.0000  0.0000  0.0000
Sc  0.6259  0.1259  0.0000
Sc  0.1259  0.3741  0.0000
Zr  0.3256  0.1744  0.5000
Zr  0.8256  0.3256  0.5000
Zr  0.6744  0.8256  0.5000
Sc  0.3741  0.8741  0.0000

Output
As for the formation energy from the elements: 199.8 meV per atom. For the polymorph energy (0 for the lowest one), the calculation gives 0.161 eV/atom.

# 8
An optimized crystal structure of MnTlGa2Ge. Source: the Alexandria database, functional PBE-GGA.

Unit cell a=4.7664 b=4.7664 c=4.5887 alpha=90.00 beta=90.00 gamma=90.00
Element x y z (fractional)
Ge  0.0000  0.0000  0.5000
Ga  0.0000  0.5000  0.0000
Mn  0.0000  0.0000  0.0000
Ga  0.5000  0.0000  0.0000
Tl  0.5000  0.5000  0.5000

Output
As for the formation energy from the elements: 48.9 meV per atom.

Values for E, Ry/atom, ordered as above
-0.314; -0.285; -0.501; -0.409; -0.520; -0.213; -0.569; -0.323